Here is a PBEsol-optimized structure of Tl3ZnFe from Alexandria via LeMat-Bulk. Energies are from SCAN.

Cell: 5.0249 5.0249 5.0249 Å, 90.00 90.00 90.00°
Last column: nearest neighbours and their distance in Å.
Space group Pm-3m (No. 221)
Symmetry-distinct sites (fractional):
Tl1 0.0000 0.0000 0.5000  2 Fe 2.51
Zn1 0.5000 0.5000 0.5000  12 Tl 3.55
Fe1 0.0000 0.0000 0.0000  6 Tl 2.51

Computed properties:
Final energy in Ry/atom: -3.62355
DFT formation energy in eV/atom: 0.443